# Tl2Cu2F7 PBE-GGA relaxed
# **Energy relative to the elements, uncorrected**: -1.563 eV/atom
# **V**: 308 Å³ per cell
# **D(E_F)**: 0.511 states/eV/atom
# **Excess energy over the best structure of this formula in the dataset**: 42 meV/atom
data_Tl2Cu2F7
_symmetry_space_group_name_H-M 'C 1 2/m 1'
_symmetry_Int_Tables_number 12
_symmetry_space_group_name_Hall '-C 2y'
_cell_length_a 8.5407
_cell_length_b 6.6959
_cell_length_c 5.3852
_cell_angle_alpha 90.00
_cell_angle_beta 92.26
_cell_angle_gamma 90.00
loop_
_atom_site_label
_atom_site_fract_x
_atom_site_fract_y
_atom_site_fract_z
Tl1 0.0000 0.2186 0.0000
Cu1 0.2401 0.0000 0.5353
F1 0.0000 0.0000 0.5000
F2 0.0590 0.5000 0.2434
F3 0.2229 0.2820 0.7334

---

# Ce2PaBi PBE-GGA relaxed
# **V**: 327 Å³ per cell
# **D(E_F)**: 2.663 states/eV/atom
# **Excess energy over the best structure of this formula in the dataset**: 407 meV/atom
data_Ce2PaBi
_symmetry_space_group_name_H-M 'R -3 m'
_symmetry_Int_Tables_number 166
_symmetry_space_group_name_Hall '-R 3 2"'
_cell_length_a 4.0090
_cell_length_b 4.0090
_cell_length_c 23.5109
_cell_angle_alpha 90.00
_cell_angle_beta 90.00
_cell_angle_gamma 120.00
loop_
_atom_site_label
_atom_site_fract_x
_atom_site_fract_y
_atom_site_fract_z
Ce1 0.0000 0.0000 0.2360
Pa1 0.0000 0.0000 0.5000
Bi1 0.0000 0.0000 0.0000

---

# SrTePt2 PBE-GGA relaxed
# **Energy relative to the elements, uncorrected**: -0.668 eV/atom
# **V**: 200 Å³ per cell
# **D(E_F)**: 0.264 states/eV/atom
# **Excess energy over the best structure of this formula in the dataset**: 35 meV/atom
data_SrTePt2
_symmetry_space_group_name_H-M 'C 1 m 1'
_symmetry_Int_Tables_number 8
_symmetry_space_group_name_Hall 'C -2y'
_cell_length_a 9.4947
_cell_length_b 3.9791
_cell_length_c 5.8471
_cell_angle_alpha 90.00
_cell_angle_beta 114.89
_cell_angle_gamma 90.00
loop_
_atom_site_label
_atom_site_fract_x
_atom_site_fract_y
_atom_site_fract_z
Sr1 0.0000 0.0000 0.0000
Te1 0.3144 0.5000 0.3887
Pt1 0.0270 0.5000 0.5867
Pt2 0.2205 0.0000 0.6094